The following is a GGA-PBE calculation of Hf2Ge2W after structural relaxation, from the Alexandria database.

Formation enthalpy at 0 K: -0.5278 eV/atom
Total energy: -8.947 eV per atom
Space-group type: P4/mbm

Unit cell a=6.804 b=6.804 c=3.791 alpha=90.00 beta=90.00 gamma=90.00
Positions (direct):
Hf1 0.173 0.327 0.000
Hf2 0.327 0.827 0.000
Hf3 0.673 0.173 0.000
Hf4 0.827 0.673 0.000
Ge1 0.132 0.632 0.500
Ge2 0.368 0.132 0.500
Ge3 0.632 0.868 0.500
Ge4 0.868 0.368 0.500
W1 0.000 0.000 0.500
W2 0.500 0.500 0.500

***

The following is a GGA-PBE calculation of B2Se4I after structural relaxation, from the Alexandria database.

Total energy: -3.555 eV per atom
Raw formation energy: 565 meV per atom
Space-group type: I4/mmm
Offset from the most stable computed form: 0.6112 eV/atom

Unit cell a=7.633 b=7.633 c=7.633 alpha=137.49 beta=137.49 gamma=61.68
Positions (direct):
B1 0.062 0.062 0.000
B2 0.938 0.938 0.000
Se1 0.000 0.500 0.500
Se2 0.201 0.201 0.000
Se3 0.500 0.000 0.500
Se4 0.799 0.799 0.000
I1 0.500 0.500 0.000

***

The following is a GGA-PBE calculation of EuHfAl4 after structural relaxation, from the Alexandria database.

Formation enthalpy at 0 K: -0.3145 eV/atom
Total energy: -6.181 eV per atom
Space-group type: F-43m

Unit cell a=5.475 b=5.475 c=5.475 alpha=60.00 beta=60.00 gamma=60.00
Positions (direct):
Eu1 0.000 0.000 0.000
Hf1 0.250 0.250 0.250
Al1 0.126 0.625 0.625
Al2 0.625 0.126 0.625
Al3 0.625 0.625 0.126
Al4 0.625 0.625 0.625

***

Which of these has the highest total energy?
B2Se4I

***

Which of these has the lowest total energy?
Hf2Ge2W